1.
## La4Tb3Pr5 (PBE)

Data for crystalline La4Tb3Pr5 at its relaxed geometry.

Lattice parameters (Å, degrees): 8.8725 8.8725 9.5661 114.93 114.93 40.28
With the nearest neighbours (Å) after each atom.
Atoms (fractional coordinates):
La 0.0834 0.0834 0.4393  2 La 3.46-3.76, 6 Pr 3.51-3.86, 1 Tb 3.52
La 0.2172 0.2172 0.8768  3 Tb 3.40-3.59, 3 La 3.71-3.76, 3 Pr 3.77
La 0.7828 0.7828 0.1232  3 Tb 3.40-3.59, 3 La 3.71-3.76, 3 Pr 3.77
La 0.9166 0.9166 0.5607  2 La 3.46-3.76, 6 Pr 3.51-3.86, 1 Tb 3.52
Tb 0.2085 0.2085 0.2256  3 Pr 3.16-3.36, 2 La 3.40-3.52
Tb 0.5000 0.5000 0.0000  2 Pr 3.05
Tb 0.7915 0.7915 0.7744  3 Pr 3.16-3.36, 2 La 3.40-3.52
Pr 0.0000 0.0000 0.0000  4 Tb 3.05-3.16
Pr 0.3289 0.3289 0.6101  4 Tb 3.31-3.62, 3 La 3.51-3.66
Pr 0.4252 0.4252 0.2972  2 Tb 3.36-3.58, 1 Pr 3.55
Pr 0.5748 0.5748 0.7028  2 Tb 3.36-3.58, 1 Pr 3.55
Pr 0.6711 0.6711 0.3899  4 Tb 3.31-3.62, 3 La 3.51-3.66

Properties
- SG: No. 12
- Density of states at the Fermi level: 20.08 states/eV per cell
- Density: 6.630 g/cm3
- Raw total energy: -55.2 eV per cell
- Calculated formation energy: 0.190 eV/atom


2.
## LaTb2Pr (PBE)

Data for crystalline LaTb2Pr at its relaxed geometry.

Lattice parameters (Å, degrees): 6.2601 6.2601 3.6835 90.00 90.00 107.98
With the nearest neighbours (Å) after each atom.
Atoms (fractional coordinates):
La 0.0000 0.0000 0.0000  8 Tb 3.63, 2 Pr 3.68, 2 La 3.68
Tb 0.0000 0.5000 0.5000  4 Pr 3.63, 4 La 3.63, 4 Tb 3.68
Tb 0.5000 0.0000 0.5000  4 Pr 3.63, 4 La 3.63, 4 Tb 3.68
Pr 0.5000 0.5000 0.0000  8 Tb 3.63, 2 La 3.68, 2 Pr 3.68

Properties
- SG: No. 65
- Density of states at the Fermi level: 6.72 states/eV per cell
- Density: 7.228 g/cm3
- Raw total energy: -18.9 eV per cell
- Calculated formation energy: 0.021 eV/atom


3.
## LaTb8Pr4 (PBE)

Data for crystalline LaTb8Pr4 at its relaxed geometry.

Lattice parameters (Å, degrees): 7.8959 7.8959 7.8959 90.09 90.09 90.09
With the nearest neighbours (Å) after each atom.
Atoms (fractional coordinates):
La 0.0000 0.0000 0.0000  8 Tb 3.57-3.58, 6 Pr 3.95
Tb 0.2614 0.2614 0.2614  4 Pr 3.26-3.48, 1 La 3.57
Tb 0.2607 0.7382 0.7382  4 Pr 3.26-3.48, 1 La 3.58
Tb 0.2618 0.2618 0.7393  4 Pr 3.26-3.48, 1 La 3.58
Tb 0.2618 0.7393 0.2618  4 Pr 3.26-3.48, 1 La 3.58
Tb 0.7382 0.2607 0.7382  4 Pr 3.26-3.48, 1 La 3.58
Tb 0.7382 0.7382 0.2607  4 Pr 3.26-3.48, 1 La 3.58
Tb 0.7393 0.2618 0.2618  4 Pr 3.26-3.48, 1 La 3.58
Tb 0.7386 0.7386 0.7386  4 Pr 3.26-3.48, 1 La 3.57
Pr 0.0000 0.0000 0.5000  8 Tb 3.47-3.48
Pr 0.0000 0.5000 0.0000  8 Tb 3.47-3.48
Pr 0.5000 0.0000 0.0000  8 Tb 3.47-3.48
Pr 0.5000 0.5000 0.5000  8 Tb 3.26

Properties
- SG: No. 166
- Density of states at the Fermi level: 22.09 states/eV per cell
- Density: 6.658 g/cm3
- Raw total energy: -54.4 eV per cell
- Calculated formation energy: 0.513 eV/atom


4.
## La4Tb8Pr3 (PBE)

Data for crystalline La4Tb8Pr3 at its relaxed geometry.

Lattice parameters (Å, degrees): 9.4441 9.4441 6.8742 111.34 111.34 87.31
With the nearest neighbours (Å) after each atom.
Atoms (fractional coordinates):
La 0.0000 0.0000 0.0000  2 La 3.44, 4 Tb 3.65-3.66
La 0.0000 0.0000 0.5000  6 Tb 3.36-3.58, 2 La 3.44
La 0.0000 0.5000 0.0000  4 Tb 3.27-3.42, 2 Pr 3.44
La 0.5000 0.0000 0.0000  4 Tb 3.27-3.42, 2 Pr 3.44
Tb 0.2580 0.7420 0.5000  3 Pr 3.15-3.42, 3 La 3.36-3.42
Tb 0.2693 0.2693 0.0070  4 Tb 3.27-3.66, 1 Pr 3.27, 4 La 3.27-3.66
Tb 0.2686 0.2686 0.5310  2 Tb 3.27-3.61, 3 Pr 3.27-3.28, 2 La 3.57-3.65
Tb 0.3611 0.6389 0.0000  7 Tb 3.62-3.69, 2 La 3.71, 4 Pr 3.71-3.89
Tb 0.6389 0.3611 0.0000  7 Tb 3.62-3.69, 2 La 3.71, 4 Pr 3.71-3.89
Tb 0.7314 0.7314 0.4690  2 Tb 3.27-3.61, 3 Pr 3.27-3.28, 2 La 3.57-3.65
Tb 0.7307 0.7307 0.9930  4 Tb 3.27-3.66, 1 Pr 3.27, 4 La 3.27-3.66
Tb 0.7420 0.2580 0.5000  3 Pr 3.15-3.42, 3 La 3.36-3.42
Pr 0.0000 0.5000 0.5000  4 Tb 3.27-3.42, 2 La 3.44
Pr 0.5000 0.0000 0.5000  4 Tb 3.27-3.42, 2 La 3.44
Pr 0.5000 0.5000 0.5000  6 Tb 3.15-3.28

Properties
- SG: No. 12
- Density of states at the Fermi level: 30.20 states/eV per cell
- Density: 7.058 g/cm3
- Raw total energy: -66.1 eV per cell
- Calculated formation energy: 0.331 eV/atom